[1]
NaLa3Sn12 | PBE | relaxed

Results
Space-group type: P4/mmm
DFT total energy (eV per atom): -4.46
Formation enthalpy at 0 K (eV/atom): -0.456
Crystal system: tetragonal
Size of the total moment (Bohr magnetons per cell): 0.000

Cell: 4.7657 4.7657 19.3631 Å, 90.00 90.00 90.00°
Closest atoms and distances in Å follow each position.
Fractional coordinates of all 16 atoms:
Sn 0.5000 0.0000 0.3743  4 La 3.37-3.41, 8 Sn 3.37-3.44
Sn 0.0000 0.5000 0.3743  4 La 3.37-3.41, 8 Sn 3.37-3.44
Sn 0.5000 0.0000 0.8795  8 Sn 3.33-3.40, 2 Na 3.33, 2 La 3.48
Sn 0.5000 0.5000 0.2460  4 La 3.37, 8 Sn 3.40-3.44
Sn 0.5000 0.5000 0.5000  4 La 3.37, 8 Sn 3.41
Sn 0.0000 0.5000 0.6257  4 La 3.37-3.41, 8 Sn 3.37-3.44
Sn 0.5000 0.0000 0.6257  4 La 3.37-3.41, 8 Sn 3.37-3.44
Sn 0.0000 0.5000 0.8795  8 Sn 3.33-3.40, 2 Na 3.33, 2 La 3.48
Sn 0.0000 0.5000 0.1205  8 Sn 3.33-3.40, 2 Na 3.33, 2 La 3.48
Sn 0.5000 0.5000 0.7540  4 La 3.37, 8 Sn 3.40-3.44
Sn 0.5000 0.0000 0.1205  8 Sn 3.33-3.40, 2 Na 3.33, 2 La 3.48
Sn 0.5000 0.5000 0.0000  8 Sn 3.33, 4 Na 3.37
La 0.0000 0.0000 0.7484  12 Sn 3.37-3.48
La 0.0000 0.0000 0.5000  12 Sn 3.37-3.41
La 0.0000 0.0000 0.2516  12 Sn 3.37-3.48
Na 0.0000 0.0000 0.0000  12 Sn 3.33-3.37

[2]
NaLaSn2 | PBE | relaxed

Results
Space-group type: P4/mmm
DFT total energy (eV per atom): -3.97
Formation enthalpy at 0 K (eV/atom): -0.404
Crystal system: tetragonal
Size of the total moment (Bohr magnetons per cell): 0.000

Cell: 3.7891 3.7891 7.7984 Å, 90.00 90.00 90.00°
Closest atoms and distances in Å follow each position.
Fractional coordinates of all 4 atoms:
La 0.5000 0.5000 0.5000  8 Sn 3.43, 4 La 3.79
Sn 0.0000 0.0000 0.2245  4 Na 3.20, 4 La 3.43, 1 Sn 3.50
Sn 0.0000 0.0000 0.7755  4 Na 3.20, 4 La 3.43, 1 Sn 3.50
Na 0.5000 0.5000 0.0000  8 Sn 3.20

[3]
NaLaSn6 | PBE | relaxed

Results
Space-group type: P4/mmm
DFT total energy (eV per atom): -4.11
Formation enthalpy at 0 K (eV/atom): -0.330
Crystal system: tetragonal
Size of the total moment (Bohr magnetons per cell): 0.000

Cell: 4.7596 4.7596 9.5847 Å, 90.00 90.00 90.00°
Closest atoms and distances in Å follow each position.
Fractional coordinates of all 8 atoms:
La 0.0000 0.0000 0.0000  12 Sn 3.37-3.43
Na 0.0000 0.0000 0.5000  12 Sn 3.32-3.37
Sn 0.5000 0.5000 0.5000  8 Sn 3.32, 4 Na 3.37
Sn 0.0000 0.5000 0.2580  2 Na 3.32, 8 Sn 3.32-3.43, 2 La 3.43
Sn 0.0000 0.5000 0.7420  8 Sn 3.32-3.43, 2 Na 3.32, 2 La 3.43
Sn 0.5000 0.5000 0.0000  4 La 3.37, 8 Sn 3.43
Sn 0.5000 0.0000 0.7420  8 Sn 3.32-3.43, 2 Na 3.32, 2 La 3.43
Sn 0.5000 0.0000 0.2580  2 Na 3.32, 8 Sn 3.32-3.43, 2 La 3.43

[4]
NaLaSn | PBE | relaxed

Results
Space-group type: F-43m
DFT total energy (eV per atom): -3.81
Formation enthalpy at 0 K (eV/atom): -0.396
Crystal system: cubic
Size of the total moment (Bohr magnetons per cell): 0.000

Cell: 5.3242 5.3242 5.3242 Å, 60.00 60.00 60.00°
Closest atoms and distances in Å follow each position.
Fractional coordinates of all 3 atoms:
Sn 0.2500 0.2500 0.2500  4 La 3.26, 4 Na 3.26
Na 0.0000 0.0000 0.0000  4 Sn 3.26
La 0.5000 0.5000 0.5000  4 Sn 3.26

[5]
NaLaSn2 | PBE | relaxed

Results
Space-group type: P4/mmm
DFT total energy (eV per atom): -4.09
Formation enthalpy at 0 K (eV/atom): -0.523
Crystal system: tetragonal
Size of the total moment (Bohr magnetons per cell): 0.000

Cell: 4.7179 4.8757 4.8757 Å, 90.00 90.00 90.00°
Closest atoms and distances in Å follow each position.
Fractional coordinates of all 4 atoms:
Sn 0.0000 0.5000 0.0000  4 Na 3.39, 4 La 3.39, 4 Sn 3.45
Sn 0.0000 0.0000 0.5000  4 Na 3.39, 4 La 3.39, 4 Sn 3.45
La 0.5000 0.5000 0.5000  8 Sn 3.39, 4 Na 3.45
Na 0.5000 0.0000 0.0000  8 Sn 3.39, 4 La 3.45

[6]
NaLa3Sn | PBE | relaxed

Results
Space-group type: Pm-3m
DFT total energy (eV per atom): -3.89
Formation enthalpy at 0 K (eV/atom): 0.135
Crystal system: cubic
Size of the total moment (Bohr magnetons per cell): 2.552
ΔE to the lowest computed polymorph (meV per atom): 0.0

Cell: 6.1757 6.1757 6.1757 Å, 90.00 90.00 90.00°
Closest atoms and distances in Å follow each position.
Fractional coordinates of all 5 atoms:
Sn 0.0000 0.0000 0.0000  6 La 3.09
La 0.0000 0.5000 0.0000  2 Sn 3.09
La 0.5000 0.0000 0.0000  2 Sn 3.09
La 0.0000 0.0000 0.5000  2 Sn 3.09
Na 0.5000 0.5000 0.5000  12 La 4.37

[7]
NaLaSn | PBE | relaxed

Results
Space-group type: I4mm
DFT total energy (eV per atom): -3.66
Formation enthalpy at 0 K (eV/atom): -0.248
Crystal system: tetragonal
Size of the total moment (Bohr magnetons per cell): 0.000

Cell: 3.5824 3.5824 7.8927 Å, 103.12 103.12 90.00°
Closest atoms and distances in Å follow each position.
Fractional coordinates of all 3 atoms:
La 0.5947 0.5947 0.1894  4 Sn 3.33, 4 La 3.58
Sn 0.9498 0.9498 0.8996  4 Na 3.33, 4 La 3.33, 4 Sn 3.58
Na 0.3055 0.3055 0.6110  4 Sn 3.33, 4 Na 3.58

[8]
NaLa2Sn4 | PBE | relaxed

Results
Space-group type: I4/mmm
DFT total energy (eV per atom): -4.02
Formation enthalpy at 0 K (eV/atom): -0.134
Crystal system: tetragonal
Size of the total moment (Bohr magnetons per cell): 0.000

Cell: 5.2328 5.2328 8.9723 Å, 73.05 73.05 90.00°
Closest atoms and distances in Å follow each position.
Fractional coordinates of all 7 atoms:
Sn 0.5000 0.0000 0.0000  2 Na 2.62
Sn 0.8282 0.8282 0.3437  1 Na 2.81
Sn 0.0000 0.5000 0.0000  2 Na 2.62
Sn 0.1718 0.1718 0.6563  1 Na 2.81
La 0.6326 0.6326 0.7349  5 Sn 3.20-3.40
La 0.3674 0.3674 0.2651  5 Sn 3.20-3.40
Na 0.0000 0.0000 0.0000  6 Sn 2.62-2.81

Repeat the second record exactly.
NaLaSn2 | PBE | relaxed

Results
Space-group type: P4/mmm
DFT total energy (eV per atom): -3.97
Formation enthalpy at 0 K (eV/atom): -0.404
Crystal system: tetragonal
Size of the total moment (Bohr magnetons per cell): 0.000

Cell: 3.7891 3.7891 7.7984 Å, 90.00 90.00 90.00°
Closest atoms and distances in Å follow each position.
Fractional coordinates of all 4 atoms:
La 0.5000 0.5000 0.5000  8 Sn 3.43, 4 La 3.79
Sn 0.0000 0.0000 0.2245  4 Na 3.20, 4 La 3.43, 1 Sn 3.50
Sn 0.0000 0.0000 0.7755  4 Na 3.20, 4 La 3.43, 1 Sn 3.50
Na 0.5000 0.5000 0.0000  8 Sn 3.20

> size of the total moment of number 3 (NaLaSn6)?

0.000 Bohr magnetons per cell

> Among the records above, which one has the lowest DFT total energy?

NaLa3Sn12